# 1
LaHo2Pa | Alexandria via LeMat-Bulk | GGA-PBE | optimized geometry; ΔH_f (0 K) = 0.128 eV per atom; space group = P4/mmm, No. 123; ΔE to the lowest computed polymorph = 0.0000 eV per atom; volume = 30.422 A^3/atom; calculated density = 9.55 g cm⁻³; total DFT energy (no corrections) = -5.767 eV/atom
1.0
3.429 0.000 0.000
0.000 3.429 0.000
0.000 0.000 10.351
La Ho Pa
1 2 1
Direct
0.000 0.000 0.000
0.500 0.500 0.275
0.500 0.500 0.725
0.000 0.000 0.500

# 2
CsBa2NaCl | Alexandria via LeMat-Bulk | GGA-PBE | optimized geometry; space group = P4/mmm, No. 123; volume = 56.913 A^3/atom; calculated density = 2.72 g cm⁻³; total DFT energy (no corrections) = -2.172 eV/atom; formation energy without anion corrections = -0.60 eV per atom
1.0
6.312 0.000 0.000
0.000 6.312 0.000
0.000 0.000 7.142
Cs Ba Na Cl
1 2 1 1
Direct
0.000 0.000 0.000
0.000 0.500 0.500
0.500 0.000 0.500
0.500 0.500 0.000
0.000 0.000 0.500